Record 1
# Cs3YBr6 | Alexandria via LeMat-Bulk | GGA-PBE | optimized geometry
data_Cs3YBr6
_chemical_formula_sum 'Cs6 Y2 Br12'
_space_group_name_H-M_alt 'P 1'
_space_group_IT_number 1
_space_group_name_Hall 'P 1'
_cell_length_a 8.456
_cell_length_b 8.959
_cell_length_c 14.633
_cell_angle_alpha 90.00
_cell_angle_beta 124.42
_cell_angle_gamma 90.00
loop_
_atom_site_label
_atom_site_type_symbol
_atom_site_fract_x
_atom_site_fract_y
_atom_site_fract_z
_atom_site_occupancy
Cs1 Cs 0.000 0.000 0.000 1
Cs2 Cs 0.000 0.500 0.500 1
Cs3 Cs 0.219 0.070 0.745 1
Cs4 Cs 0.219 0.430 0.245 1
Cs5 Cs 0.781 0.570 0.755 1
Cs6 Cs 0.781 0.930 0.255 1
Y1 Y 0.500 0.000 0.500 1
Y2 Y 0.500 0.500 0.000 1
Br1 Br 0.183 0.172 0.452 1
Br2 Br 0.183 0.328 0.952 1
Br3 Br 0.271 0.738 0.433 1
Br4 Br 0.271 0.762 0.933 1
Br5 Br 0.395 0.046 0.282 1
Br6 Br 0.395 0.454 0.782 1
Br7 Br 0.605 0.546 0.218 1
Br8 Br 0.605 0.954 0.718 1
Br9 Br 0.729 0.238 0.067 1
Br10 Br 0.729 0.262 0.567 1
Br11 Br 0.817 0.672 0.048 1
Br12 Br 0.817 0.828 0.548 1
# Energy relative to the lowest polymorph listed for this composition ... 0.0 meV/atom

Record 2
# Cs3YBr | Alexandria via LeMat-Bulk | GGA-PBE | optimized geometry
data_Cs3YBr
_chemical_formula_sum 'Cs3 Y1 Br1'
_space_group_name_H-M_alt 'P 1'
_space_group_IT_number 1
_space_group_name_Hall 'P 1'
_cell_length_a 7.447
_cell_length_b 7.447
_cell_length_c 7.447
_cell_angle_alpha 90.00
_cell_angle_beta 90.00
_cell_angle_gamma 90.00
loop_
_atom_site_label
_atom_site_type_symbol
_atom_site_fract_x
_atom_site_fract_y
_atom_site_fract_z
_atom_site_occupancy
Cs1 Cs 0.000 0.000 0.500 1
Cs2 Cs 0.000 0.500 0.000 1
Cs3 Cs 0.500 0.000 0.000 1
Y1 Y 0.000 0.000 0.000 1
Br1 Br 0.500 0.500 0.500 1
# Total energy ... -1.8727 eV/atom